<i>
PBE Rb2TaPt, optimized geometry; N(E_F) = 12.38 states/eV per cell
1.0
12.633 0.000 0.000
0.000 12.633 0.000
6.316 6.316 2.502
Pt Rb Ta
2 4 2
Cartesian
0.000 0.000 0.000
12.633 6.316 1.251
13.727 9.475 0.625
11.539 3.158 0.625
15.791 5.223 1.876
9.475 7.410 1.876
6.316 6.316 0.000
6.316 12.633 1.251

---

<ii>
PBE Rb2TaPt, optimized geometry; N(E_F) = 5.24 states/eV per cell
1.0
0.000 4.042 4.042
4.042 0.000 4.042
4.042 4.042 0.000
Rb Pt Ta
2 1 1
Cartesian
6.063 6.063 6.063
2.021 2.021 2.021
4.042 4.042 4.042
0.000 0.000 0.000

---

Most favorable structure: <i>. The second most favorable one is 75.2 kJ/mol of atoms above it.